Entry w
Below is an optimized crystal structure of TlBiMo2O8, with properties calculated at the PBE with a Hubbard U level.

Results
As for the crystal system: trigonal.

Lattice parameters (Å, degrees): 5.5865 5.5865 25.8999 90.00 90.00 120.00
Space group R32 (No. 155, hexagonal axes)
Symmetry-distinct sites (fractional):
Tl 0.0000 0.0000 0.0000 [3 per cell]
Bi 0.0000 0.0000 0.5000 [3 per cell]
Mo 0.0000 0.0000 0.2469 [6 per cell]
O 0.0000 0.0000 0.3149 [6 per cell]
O 0.0132 0.3755 0.8907 [18 per cell]

---

Entry x
Below is an optimized crystal structure of TlBiMo2O8, with properties calculated at the PBE with a Hubbard U level.

Results
As for the crystal system: monoclinic.

Lattice parameters (Å, degrees): 11.916 12.145 5.338 90.00 93.09 90.00
Space group P2_1/c (No. 14)
Symmetry-distinct sites (fractional):
Tl 0.123 0.122 0.474 [4 per cell]
Bi 0.381 0.624 0.988 [4 per cell]
Mo 0.158 0.649 0.488 [4 per cell]
Mo 0.387 0.115 0.973 [4 per cell]
O 0.067 0.729 0.673 [4 per cell]
O 0.079 0.551 0.313 [4 per cell]
O 0.233 0.563 0.730 [4 per cell]
O 0.279 0.197 0.081 [4 per cell]
O 0.281 0.708 0.312 [4 per cell]
O 0.322 0.028 0.730 [4 per cell]
O 0.452 0.039 0.243 [4 per cell]
O 0.497 0.200 0.843 [4 per cell]

---

Of them, entry x has the highest stability.